Mn2NiSnO6: optimized geometry, GGA+U.

abc: 5.258 5.240 5.740
angles: 60.25 60.37 59.40
Site moments in Bohr magnetons follow the coordinates.
Fractional positions:
O 0.121 0.407 0.753  -0.04
O 0.233 0.895 0.263  0.02
O 0.394 0.737 0.763  0.00
O 0.909 0.619 0.246  -0.02
Sn 0.315 0.308 0.063  0.04
Mn 0.017 0.015 0.951  3.97
Mn 0.514 0.512 0.454  4.00
O 0.634 0.214 0.231  0.02
O 0.714 0.139 0.732  -0.01
Ni 0.810 0.816 0.560  1.78

space-group type = P1 (1)
E_tot = -65.84 eV for the cell shown